# 1
Density functional theory data (PBE-GGA) for crystalline DyCuAg4 at its relaxed geometry.

Lattice parameters (Å, degrees): 7.775 7.775 7.775 90.00 90.00 90.00
Space group F-43m (No. 216)
Symmetry-distinct sites (fractional):
Dy: 0.000 0.000 0.000 [4 per cell]
Cu: 0.250 0.250 0.750 [4 per cell]
Ag: 0.125 0.125 0.375 [16 per cell]

Values from the calculation:
E_tot = -20.111 eV per formula unit
E_form = -0.001 eV per atom

=====

# 2
Density functional theory data (PBE-GGA) for crystalline Dy4Cu3Ag at its relaxed geometry.

Lattice parameters (Å, degrees): 3.510 4.981 9.930 90.00 90.00 90.00
Space group Pmmm (No. 47)
Symmetry-distinct sites (fractional):
Dy: 0.000 0.000 0.000 [1 per cell]
Dy: 0.000 0.000 0.500 [1 per cell]
Dy: 0.000 0.500 0.240 [2 per cell]
Cu: 0.500 0.000 0.249 [2 per cell]
Cu: 0.500 0.500 0.000 [1 per cell]
Ag: 0.500 0.500 0.500 [1 per cell]

Values from the calculation:
Energy above the most stable polymorph in this dataset = 0.00 kcal/mol of atoms
E_tot = -35.623 eV per formula unit
E_form = -0.259 eV per atom

=====

# 3
Density functional theory data (PBE-GGA) for crystalline DyCu2Ag at its relaxed geometry.

Lattice parameters (Å, degrees): 6.568 6.568 6.568 90.00 90.00 90.00
Space group Fm-3m (No. 225)
Symmetry-distinct sites (fractional):
Dy: 0.000 0.000 0.000 [4 per cell]
Cu: 0.250 0.250 0.250 [8 per cell]
Ag: 0.000 0.000 0.500 [4 per cell]

Values from the calculation:
Energy above the most stable polymorph in this dataset = 0.00 kcal/mol of atoms
E_tot = -16.231 eV per formula unit
E_form = -0.146 eV per atom

=====

# 4
Density functional theory data (PBE-GGA) for crystalline Dy12Cu6Ag at its relaxed geometry.

Lattice parameters (Å, degrees): 13.8389 13.8389 8.7032 90.00 90.00 120.00
Space group R-3 (No. 148, hexagonal axes)
Symmetry-distinct sites (fractional):
Dy: 0.0415 0.1754 0.3331 [18 per cell]
Dy: 0.0618 0.2535 0.9419 [18 per cell]
Cu: 0.0434 0.2622 0.6183 [18 per cell]
Ag: 0.0000 0.0000 0.0000 [3 per cell]

Values from the calculation:
Energy above the most stable polymorph in this dataset = 3.41 kcal/mol of atoms
E_tot = -82.811 eV per formula unit
E_form = -0.008 eV per atom

=====

# 5
Density functional theory data (PBE-GGA) for crystalline Dy3CuAg at its relaxed geometry.

Lattice parameters (Å, degrees): 3.746 9.549 15.085 90.00 90.00 90.00
Space group Amm2 (No. 38)
Symmetry-distinct sites (fractional):
Dy: 0.000 0.000 0.000 [2 per cell]
Dy: 0.000 0.000 0.323 [2 per cell]
Dy: 0.500 0.192 0.546 [4 per cell]
Dy: 0.500 0.192 0.776 [4 per cell]
Cu: 0.000 0.250 0.411 [4 per cell]
Ag: 0.000 0.000 0.661 [2 per cell]
Ag: 0.500 0.000 0.162 [2 per cell]

Values from the calculation:
Energy above the most stable polymorph in this dataset = 4.48 kcal/mol of atoms
E_tot = -20.769 eV per formula unit
E_form = -0.003 eV per atom

=====

# 6
Density functional theory data (PBE-GGA) for crystalline Dy3CuAg2 at its relaxed geometry.

Lattice parameters (Å, degrees): 3.566 3.566 10.855 90.00 90.00 90.00
Space group P4/mmm (No. 123)
Symmetry-distinct sites (fractional):
Dy: 0.000 0.000 0.000 [1 per cell]
Dy: 0.000 0.000 0.344 [2 per cell]
Cu: 0.500 0.500 0.500 [1 per cell]
Ag: 0.500 0.500 0.171 [2 per cell]

Values from the calculation:
E_tot = -25.387 eV per formula unit
E_form = -0.297 eV per atom

=====

# 7
Density functional theory data (PBE-GGA) for crystalline Dy3Cu2Ag4 at its relaxed geometry.

Lattice parameters (Å, degrees): 10.520 4.601 8.685 90.00 115.81 90.00
Space group C2/m (No. 12)
Symmetry-distinct sites (fractional):
Dy: 0.000 0.000 0.000 [2 per cell]
Dy: 0.177 0.500 0.650 [4 per cell]
Cu: 0.089 0.500 0.265 [4 per cell]
Ag: 0.036 0.000 0.367 [4 per cell]
Ag: 0.218 0.500 0.065 [4 per cell]

Values from the calculation:
E_tot = -35.517 eV per formula unit
E_form = -0.235 eV per atom

=====

# 8
Density functional theory data (PBE-GGA) for crystalline DyCu9Ag2 at its relaxed geometry.

Lattice parameters (Å, degrees): 4.9886 4.9886 24.1375 90.00 90.00 120.00
Space group R-3m (No. 166, hexagonal axes)
Symmetry-distinct sites (fractional):
Dy: 0.0000 0.0000 0.0000 [3 per cell]
Cu: 0.0000 0.0000 0.3334 [6 per cell]
Cu: 0.0000 0.0000 0.5000 [3 per cell]
Cu: 0.0026 0.5013 0.9155 [18 per cell]
Ag: 0.0000 0.0000 0.1445 [6 per cell]

Values from the calculation:
E_tot = -48.168 eV per formula unit
E_form = -0.083 eV per atom

=====

# 9
Density functional theory data (PBE-GGA) for crystalline Dy5CuAg4 at its relaxed geometry.

Lattice parameters (Å, degrees): 3.578 3.578 18.310 90.00 90.00 90.00
Space group P4/mmm (No. 123)
Symmetry-distinct sites (fractional):
Dy: 0.000 0.000 0.000 [1 per cell]
Dy: 0.000 0.000 0.204 [2 per cell]
Dy: 0.000 0.000 0.408 [2 per cell]
Cu: 0.500 0.500 0.500 [1 per cell]
Ag: 0.500 0.500 0.102 [2 per cell]
Ag: 0.500 0.500 0.305 [2 per cell]

Values from the calculation:
E_tot = -41.587 eV per formula unit
E_form = -0.307 eV per atom

=====

# 10
Density functional theory data (PBE-GGA) for crystalline Dy3CuAg at its relaxed geometry.

Lattice parameters (Å, degrees): 5.019 19.445 5.023 90.00 90.00 90.00
Space group Cmcm (No. 63)
Symmetry-distinct sites (fractional):
Dy: 0.000 0.066 0.250 [4 per cell]
Dy: 0.000 0.250 0.250 [4 per cell]
Dy: 0.000 0.434 0.250 [4 per cell]
Cu: 0.000 0.159 0.750 [4 per cell]
Ag: 0.000 0.341 0.750 [4 per cell]

Values from the calculation:
Energy above the most stable polymorph in this dataset = 0.00 kcal/mol of atoms
E_tot = -21.739 eV per formula unit
E_form = -0.197 eV per atom

=====

# 11
Density functional theory data (PBE-GGA) for crystalline EuDyCuAg at its relaxed geometry.

Lattice parameters (Å, degrees): 7.271 7.271 7.271 90.00 90.00 90.00
Space group F-43m (No. 216)
Symmetry-distinct sites (fractional):
Eu: 0.000 0.000 0.000 [4 per cell]
Dy: 0.000 0.000 0.500 [4 per cell]
Cu: 0.250 0.250 0.750 [4 per cell]
Ag: 0.250 0.250 0.250 [4 per cell]

Values from the calculation:
E_tot = -22.528 eV per formula unit
E_form = -0.176 eV per atom

=====

# 12
Density functional theory data (PBE-GGA) for crystalline DyCuAg2F6 at its relaxed geometry.

Lattice parameters (Å, degrees): 5.540 5.775 6.174 106.02 112.36 100.64
Space group P1 (No. 1)
Symmetry-distinct sites (fractional):
Dy: 0.000 0.000 0.000 [1 per cell]
Cu: 0.713 0.384 0.451 [1 per cell]
Ag: 0.337 0.654 0.394 [1 per cell]
Ag: 0.466 0.390 0.747 [1 per cell]
F: 0.010 0.248 0.348 [1 per cell]
F: 0.208 0.337 0.964 [1 per cell]
F: 0.443 0.060 0.263 [1 per cell]
F: 0.591 0.004 0.780 [1 per cell]
F: 0.893 0.680 0.103 [1 per cell]
F: 0.964 0.713 0.652 [1 per cell]

Values from the calculation:
Uncorrected formation energy = -2.219 eV/atom
E_tot = -47.815 eV per formula unit

=====

# 13
Density functional theory data (PBE-GGA) for crystalline DyCuAgF6 at its relaxed geometry.

Lattice parameters (Å, degrees): 5.6998 5.6998 9.9245 90.00 90.00 120.00
Space group P-31c (No. 163)
Symmetry-distinct sites (fractional):
Dy: 0.3333 0.6667 0.2500 [2 per cell]
Cu: 0.3333 0.6667 0.7500 [2 per cell]
Ag: 0.0000 0.0000 0.0000 [2 per cell]
F: 0.0169 0.3687 0.6381 [12 per cell]

Values from the calculation:
Uncorrected formation energy = -2.487 eV/atom
E_tot = -45.162 eV per formula unit

=====

# 14
Density functional theory data (PBE-GGA) for crystalline Dy4GaCuAg2 at its relaxed geometry.

Lattice parameters (Å, degrees): 5.0713 5.0713 24.8695 90.00 90.00 120.00
Space group R-3m (No. 166, hexagonal axes)
Symmetry-distinct sites (fractional):
Dy: 0.0000 0.0000 0.1222 [6 per cell]
Dy: 0.0000 0.0000 0.3726 [6 per cell]
Ga: 0.0000 0.0000 0.5000 [3 per cell]
Cu: 0.0000 0.0000 0.0000 [3 per cell]
Ag: 0.0000 0.0000 0.2475 [6 per cell]

Values from the calculation:
E_tot = -34.120 eV per formula unit
E_form = -0.361 eV per atom

=====

# 15
Density functional theory data (PBE-GGA) for crystalline Dy2Ga4Cu3Ag at its relaxed geometry.

Lattice parameters (Å, degrees): 4.137 4.137 10.446 90.00 90.00 90.00
Space group P-4m2 (No. 115)
Symmetry-distinct sites (fractional):
Dy: 0.000 0.500 0.241 [2 per cell]
Ga: 0.000 0.000 0.000 [1 per cell]
Ga: 0.000 0.500 0.645 [2 per cell]
Ga: 0.500 0.500 0.000 [1 per cell]
Cu: 0.000 0.500 0.871 [2 per cell]
Cu: 0.500 0.500 0.500 [1 per cell]
Ag: 0.000 0.000 0.500 [1 per cell]

Values from the calculation:
E_tot = -40.470 eV per formula unit
E_form = -0.402 eV per atom

=====

# 16
Density functional theory data (PBE-GGA) for crystalline Dy2Ga3Cu12Ag at its relaxed geometry.

Lattice parameters (Å, degrees): 8.9203 8.9203 12.1884 90.00 90.00 120.00
Space group R-3m (No. 166, hexagonal axes)
Symmetry-distinct sites (fractional):
Dy: 0.0000 0.0000 0.2055 [6 per cell]
Ga: 0.0000 0.5000 0.0000 [9 per cell]
Cu: 0.0063 0.5031 0.2035 [18 per cell]
Cu: 0.0330 0.5165 0.6014 [18 per cell]
Ag: 0.0000 0.0000 0.5000 [3 per cell]

Values from the calculation:
E_tot = -70.001 eV per formula unit
E_form = 0.016 eV per atom

=====

# 17
Density functional theory data (PBE-GGA) for crystalline GdDyCuAg at its relaxed geometry.

Lattice parameters (Å, degrees): 7.164 7.164 7.164 90.00 90.00 90.00
Space group F-43m (No. 216)
Symmetry-distinct sites (fractional):
Gd: 0.000 0.000 0.000 [4 per cell]
Dy: 0.000 0.000 0.500 [4 per cell]
Cu: 0.250 0.250 0.750 [4 per cell]
Ag: 0.250 0.250 0.250 [4 per cell]

Values from the calculation:
E_tot = -26.631 eV per formula unit
E_form = -0.250 eV per atom

=====

# 18
Density functional theory data (PBE-GGA) for crystalline Dy2Cu3AgGe4 at its relaxed geometry.

Lattice parameters (Å, degrees): 4.173 4.173 10.280 90.00 90.00 90.00
Space group P-4m2 (No. 115)
Symmetry-distinct sites (fractional):
Dy: 0.000 0.500 0.245 [2 per cell]
Cu: 0.000 0.500 0.872 [2 per cell]
Cu: 0.500 0.500 0.500 [1 per cell]
Ag: 0.000 0.000 0.500 [1 per cell]
Ge: 0.000 0.000 0.000 [1 per cell]
Ge: 0.000 0.500 0.644 [2 per cell]
Ge: 0.500 0.500 0.000 [1 per cell]

Values from the calculation:
E_tot = -46.986 eV per formula unit
E_form = -0.417 eV per atom

=====

# 19
Density functional theory data (PBE-GGA) for crystalline DyCuAgGe at its relaxed geometry.

Lattice parameters (Å, degrees): 6.681 6.681 6.681 90.00 90.00 90.00
Space group F-43m (No. 216)
Symmetry-distinct sites (fractional):
Dy: 0.000 0.000 0.000 [4 per cell]
Cu: 0.250 0.250 0.750 [4 per cell]
Ag: 0.000 0.000 0.500 [4 per cell]
Ge: 0.250 0.250 0.250 [4 per cell]

Values from the calculation:
E_tot = -17.268 eV per formula unit
E_form = -0.275 eV per atom

=====

# 20
Density functional theory data (PBE-GGA) for crystalline DyCuAgHg at its relaxed geometry.

Lattice parameters (Å, degrees): 6.839 6.839 6.839 90.00 90.00 90.00
Space group F-43m (No. 216)
Symmetry-distinct sites (fractional):
Dy: 0.000 0.000 0.000 [4 per cell]
Cu: 0.250 0.250 0.250 [4 per cell]
Ag: 0.250 0.250 0.750 [4 per cell]
Hg: 0.000 0.000 0.500 [4 per cell]

Values from the calculation:
E_tot = -12.624 eV per formula unit
E_form = -0.193 eV per atom

=====

# 21
Density functional theory data (PBE-GGA) for crystalline DyHoCuAg at its relaxed geometry.

Lattice parameters (Å, degrees): 3.535 3.535 7.133 90.00 90.00 90.00
Space group P4mm (No. 99)
Symmetry-distinct sites (fractional):
Dy: 0.000 0.000 0.000 [1 per cell]
Ho: 0.000 0.000 0.472 [1 per cell]
Cu: 0.500 0.500 0.237 [1 per cell]
Ag: 0.500 0.500 0.734 [1 per cell]

Values from the calculation:
Energy above the most stable polymorph in this dataset = 0.00 kcal/mol of atoms
E_tot = -17.283 eV per formula unit
E_form = -0.289 eV per atom

=====

# 22
Density functional theory data (PBE-GGA) for crystalline DyHoCuAg at its relaxed geometry.

Lattice parameters (Å, degrees): 7.109 7.109 7.109 90.00 90.00 90.00
Space group F-43m (No. 216)
Symmetry-distinct sites (fractional):
Dy: 0.000 0.000 0.000 [4 per cell]
Ho: 0.000 0.000 0.500 [4 per cell]
Cu: 0.250 0.250 0.750 [4 per cell]
Ag: 0.250 0.250 0.250 [4 per cell]

Values from the calculation:
Energy above the most stable polymorph in this dataset = 0.43 kcal/mol of atoms
E_tot = -17.209 eV per formula unit
E_form = -0.271 eV per atom

=====

# 23
Density functional theory data (PBE-GGA) for crystalline DyInCuAg at its relaxed geometry.

Lattice parameters (Å, degrees): 6.843 6.843 6.843 90.00 90.00 90.00
Space group F-43m (No. 216)
Symmetry-distinct sites (fractional):
Dy: 0.000 0.000 0.000 [4 per cell]
In: 0.000 0.000 0.500 [4 per cell]
Cu: 0.250 0.250 0.250 [4 per cell]
Ag: 0.250 0.250 0.750 [4 per cell]

Values from the calculation:
E_tot = -15.574 eV per formula unit
E_form = -0.322 eV per atom

=====

# 24
Density functional theory data (PBE-GGA) for crystalline LaDyCuAg at its relaxed geometry.

Lattice parameters (Å, degrees): 7.332 7.332 7.332 90.00 90.00 90.00
Space group F-43m (No. 216)
Symmetry-distinct sites (fractional):
La: 0.000 0.000 0.000 [4 per cell]
Dy: 0.000 0.000 0.500 [4 per cell]
Cu: 0.250 0.250 0.750 [4 per cell]
Ag: 0.250 0.250 0.250 [4 per cell]

Values from the calculation:
Energy above the most stable polymorph in this dataset = 1.02 kcal/mol of atoms
E_tot = -17.269 eV per formula unit
E_form = -0.198 eV per atom